1.
Computed, not measured: a relaxed structure of NaRe3Te at the PBE-GGA level of DFT.

Geometry as CIF:
```
data_NaRe3Te
_chemical_formula_sum 'Na1 Re3 Te1'
_cell_length_a 4.5991
_cell_length_b 4.5991
_cell_length_c 4.5991
_cell_angle_alpha 90.00
_cell_angle_beta 90.00
_cell_angle_gamma 90.00
_space_group_name_H-M_alt 'P m -3 m'
_space_group_IT_number 221
_space_group_name_Hall '-P 4 2 3'
loop_
_atom_site_label
_atom_site_type_symbol
_atom_site_fract_x
_atom_site_fract_y
_atom_site_fract_z
Na1 Na 0.0000 0.0000 0.0000
Re1 Re 0.0000 0.0000 0.5000
Te1 Te 0.5000 0.5000 0.5000
```

- Offset from the most stable computed form: 678.8 meV/atom
- ΔE_f (raw): 15.37 eV/f.u.

***

2.
Computed, not measured: a relaxed structure of GaReH at the PBE-GGA level of DFT.

Geometry as CIF:
```
data_GaReH
_chemical_formula_sum 'Ga1 Re1 H1'
_cell_length_a 2.8123
_cell_length_b 2.9460
_cell_length_c 5.0163
_cell_angle_alpha 105.40
_cell_angle_beta 90.41
_cell_angle_gamma 118.33
_space_group_name_H-M_alt 'P 1'
_space_group_IT_number 1
_space_group_name_Hall 'P 1'
loop_
_atom_site_label
_atom_site_type_symbol
_atom_site_fract_x
_atom_site_fract_y
_atom_site_fract_z
Ga1 Ga 0.0000 0.0000 0.0000
Re1 Re 0.8131 0.6208 0.4367
H1 H 0.1887 0.3640 0.6169
```

- Offset from the most stable computed form: 50.4 meV/atom